P:
Material: SrLiSnRh
Method: DFT, PBE-GGA
State: relaxed

Computed properties:
D(E_F)	3.39	states/eV/f.u.

a = 6.9546 Å, b = 6.9546 Å, c = 6.9546 Å
α = 90.00°, β = 90.00°, γ = 90.00°
Last column: nearest neighbours and their distance in Å.
Space group F-43m (No. 216)
Unique sites:
Sr (0.0000, 0.0000, 0.0000) [4 per cell]  4 Li 3.01, 4 Rh 3.01
Li (0.2500, 0.2500, 0.7500) [4 per cell]  4 Sn 3.01, 4 Sr 3.01
Sn (0.0000, 0.0000, 0.5000) [4 per cell]  4 Li 3.01, 4 Rh 3.01
Rh (0.2500, 0.2500, 0.2500) [4 per cell]  4 Sn 3.01, 4 Sr 3.01



Q:
Material: SrLiSnRh
Method: DFT, PBE-GGA
State: relaxed

Computed properties:
D(E_F)	2.72	states/eV/f.u.

a = 8.0222 Å, b = 4.6310 Å, c = 5.8597 Å
α = 90.00°, β = 117.27°, γ = 90.00°
Last column: nearest neighbours and their distance in Å.
Space group Cm (No. 8)
Unique sites:
Sr (0.0000, 0.0000, 0.0000) [2 per cell]  1 Li 3.00, 1 Rh 3.07
Li (0.1922, 0.0000, 0.5761) [2 per cell]  3 Sn 2.76, 3 Rh 2.81, 1 Sr 3.00
Sn (0.4806, 0.0000, 0.4416) [2 per cell]  3 Rh 2.68, 3 Li 2.76
Rh (0.3034, 0.5000, 0.4099) [2 per cell]  3 Sn 2.68, 3 Li 2.81



Which of them is most stable, and which least? Most stable: Q; least stable: P.



P:
Material: SrLiRh
Method: DFT, PBE-GGA
State: relaxed

Computed properties:
D(E_F)	1.66	states/eV/f.u.

a = 4.4316 Å, b = 5.8888 Å, c = 6.2301 Å
α = 76.55°, β = 69.18°, γ = 67.90°
Last column: nearest neighbours and their distance in Å.
Space group P-1 (No. 2)
Unique sites:
Sr (0.0657, 0.1906, 0.1782) [2 per cell]  4 Li 3.12-3.43, 5 Rh 3.17-3.20
Li (0.2959, 0.3220, 0.5884) [2 per cell]  3 Rh 2.62-2.64
Rh (0.3514, 0.6052, 0.1901) [2 per cell]  1 Rh 2.61, 3 Li 2.62-2.64



Q:
Material: SrLiRh
Method: DFT, PBE-GGA
State: relaxed

Computed properties:
D(E_F)	2.82	states/eV/f.u.

a = 5.4696 Å, b = 5.7876 Å, c = 7.8943 Å
α = 90.00°, β = 90.00°, γ = 90.00°
Last column: nearest neighbours and their distance in Å.
Space group Imma (No. 74)
Unique sites:
Sr (0.0000, 0.2500, 0.1333) [4 per cell]  6 Rh 3.24-3.27, 4 Sr 3.30-3.58, 6 Li 3.32-3.33
Li (0.2500, 0.2500, 0.7500) [4 per cell]  2 Li 2.73, 4 Rh 2.80
Rh (0.0000, 0.0000, 0.5000) [4 per cell]  4 Li 2.80, 2 Rh 2.89



R:
Material: SrLiRh
Method: DFT, PBE-GGA
State: relaxed

Computed properties:
D(E_F)	1.89	states/eV/f.u.

a = 4.4684 Å, b = 4.4684 Å, c = 3.8641 Å
α = 90.00°, β = 90.00°, γ = 120.00°
Last column: nearest neighbours and their distance in Å.
Space group P-6m2 (No. 187)
Unique sites:
Sr (0.0000, 0.0000, 0.0000) [1 per cell]  6 Rh 3.22, 6 Li 3.22
Li (0.6667, 0.3333, 0.5000) [1 per cell]  3 Rh 2.58
Rh (0.3333, 0.6667, 0.5000) [1 per cell]  3 Li 2.58



Which of them is most stable, and which least? Most stable: P; least stable: R.



P:
Material: SrLiRh
Method: DFT, PBE-GGA
State: relaxed

a = 6.6566 Å, b = 6.6566 Å, c = 6.6566 Å
α = 90.00°, β = 90.00°, γ = 90.00°
Last column: nearest neighbours and their distance in Å.
Space group F-43m (No. 216)
Unique sites:
Sr (0.0000, 0.0000, 0.0000) [4 per cell]  4 Rh 2.88
Li (0.0000, 0.0000, 0.5000) [4 per cell]  4 Rh 2.88
Rh (0.2500, 0.2500, 0.7500) [4 per cell]  4 Li 2.88, 4 Sr 2.88



Q:
Material: SrLiRh
Method: DFT, PBE-GGA
State: relaxed

Computed properties:
D(E_F)	1.94	states/eV/f.u.

a = 3.5636 Å, b = 3.5636 Å, c = 10.0332 Å
α = 90.00°, β = 90.00°, γ = 90.00°
Last column: nearest neighbours and their distance in Å.
Space group I4mm (No. 107)
Unique sites:
Sr (0.0000, 0.0000, 0.0000) [2 per cell]  1 Li 2.79, 1 Rh 3.10
Li (0.0000, 0.0000, 0.2779) [2 per cell]  4 Rh 2.67, 1 Sr 2.79
Rh (0.0000, 0.0000, 0.6908) [2 per cell]  4 Li 2.67



Which of them is most stable, and which least? Most stable: Q; least stable: P.



P:
Material: SrLiRh
Method: DFT, PBE-GGA
State: relaxed

Computed properties:
D(E_F)	0.60	states/eV/f.u.

a = 6.7403 Å, b = 6.7403 Å, c = 6.7403 Å
α = 90.00°, β = 90.00°, γ = 90.00°
Last column: nearest neighbours and their distance in Å.
Space group F-43m (No. 216)
Unique sites:
Sr (0.0000, 0.0000, 0.0000) [4 per cell]  4 Li 2.92, 4 Rh 2.92
Li (0.2500, 0.2500, 0.7500) [4 per cell]  4 Sr 2.92
Rh (0.2500, 0.2500, 0.2500) [4 per cell]  4 Sr 2.92



Q:
Material: SrLiRh
Method: DFT, PBE-GGA
State: relaxed

Computed properties:
D(E_F)	1.61	states/eV/f.u.

a = 6.1868 Å, b = 5.7942 Å, c = 8.2305 Å
α = 90.00°, β = 112.25°, γ = 90.00°
Last column: nearest neighbours and their distance in Å.
Space group P2_1/c (No. 14)
Unique sites:
Sr (0.1831, 0.1172, 0.3696) [4 per cell]  5 Rh 3.07-3.25, 5 Li 3.31-3.38
Li (0.4076, 0.6169, 0.3004) [4 per cell]  3 Rh 2.62-2.69
Rh (0.1997, 0.6022, 0.5251) [4 per cell]  3 Li 2.62-2.69, 1 Rh 2.63



Which of them is most stable, and which least? Most stable: Q; least stable: P.